DFT (PBE) results for a geometry-optimized BaHf2CoAs structure.

Calculated formation energy in eV/f.u.: 10.41
VASP energy in eV per atom: -4.636

Cell lengths 5.360, 5.360, 4.541 Å; angles 90.00, 90.00, 90.00 degrees
Space group P4/mmm (No. 123)
One atom of each set of equivalent atoms:
Ba 0.000 0.000 0.000 x1
Hf 0.000 0.500 0.000 x2
Co 0.000 0.000 0.500 x1
As 0.500 0.500 0.500 x1

DFT (PBE) results for a geometry-optimized BaCoHgAs2 structure.

Calculated formation energy in eV/f.u.: -0.52
VASP energy in eV per atom: -3.829

Cell lengths 4.681, 4.681, 5.871 Å; angles 90.00, 90.00, 90.00 degrees
Space group P4/mmm (No. 123)
One atom of each set of equivalent atoms:
Ba 0.000 0.000 0.000 x1
Co 0.000 0.000 0.500 x1
Hg 0.500 0.500 0.000 x1
As 0.000 0.500 0.500 x2

DFT (PBE) results for a geometry-optimized BaInCoAs2 structure.

Calculated formation energy in eV/f.u.: 4.55
VASP energy in eV per atom: -3.303

Cell lengths 5.197, 5.197, 6.573 Å; angles 90.00, 90.00, 90.00 degrees
Space group P4/mmm (No. 123)
One atom of each set of equivalent atoms:
Ba 0.000 0.000 0.000 x1
In 0.000 0.000 0.500 x1
Co 0.500 0.500 0.000 x1
As 0.000 0.500 0.500 x2

DFT (PBE) results for a geometry-optimized BaCoAs2Ir structure.

Calculated formation energy in eV/f.u.: -3.06
VASP energy in eV per atom: -6.050

Cell lengths 3.995, 3.995, 13.128 Å; angles 90.00, 90.00, 90.00 degrees
Space group I-4m2 (No. 119)
One atom of each set of equivalent atoms:
Ba 0.000 0.000 0.000 x2
Co 0.000 0.500 0.250 x2
As 0.000 0.000 0.355 x4
Ir 0.000 0.500 0.750 x2

DFT (PBE) results for a geometry-optimized Ba2CoAsN structure.

Excess energy over the best structure of this formula in the dataset in kJ/mol of formula units: 11
VASP energy in eV per atom: -5.361
Energy relative to the elements, uncorrected in eV/atom: -0.575

Cell lengths 5.919, 5.919, 3.522 Å; angles 90.00, 90.00, 90.00 degrees
Space group P4/mmm (No. 123)
One atom of each set of equivalent atoms:
Ba 0.000 0.500 0.000 x2
Co 0.000 0.000 0.500 x1
As 0.500 0.500 0.500 x1
N 0.000 0.000 0.000 x1

DFT (PBE) results for a geometry-optimized BaCo2AsN structure.

VASP energy in eV per atom: -6.133
Energy relative to the elements, uncorrected in eV/atom: -0.311

Cell lengths 4.237, 11.182, 6.858 Å; angles 90.00, 90.00, 90.00 degrees
Space group Cmcm (No. 63)
One atom of each set of equivalent atoms:
Ba 0.000 0.057 0.250 x4
Co 0.000 0.349 0.060 x8
As 0.000 0.225 0.750 x4
N 0.000 0.500 0.000 x4